Record 1
Entry from Alexandria: an optimized crystal structure of VAsPbO6 (PBE+U).

final energy = -6.54 eV per atom

abc: 5.0515 5.0515 5.4300
angles: 90.00 90.00 120.00
With the nearest neighbours (Å) after each atom.
Space group P312 (No. 149)
One atom of each set of equivalent atoms:
V1 0.0000 0.0000 0.0000 x1  6 O 1.91
As1 0.3333 0.6667 0.0000 x1  6 O 1.87
Pb1 0.6667 0.3333 0.5000 x1  6 O 2.57
O1 0.0586 0.3389 0.1949 x6  1 As 1.87, 1 V 1.91

=====

Record 2
Entry from Alexandria: an optimized crystal structure of VAs2PbO8 (PBE+U).

final energy = -6.35 eV per atom

abc: 4.9679 4.9679 22.7449
angles: 90.00 90.00 120.00
With the nearest neighbours (Å) after each atom.
Space group R-3 (No. 148, hexagonal axes)
One atom of each set of equivalent atoms:
V1 0.0000 0.0000 0.0000 x3  6 O 1.96
As1 0.0000 0.0000 0.2602 x6  4 O 1.70-1.73
Pb1 0.0000 0.0000 0.5000 x3  12 O 2.90-3.16
O1 0.0000 0.0000 0.1853 x6  1 As 1.70
O2 0.0102 0.3554 0.6158 x18  1 As 1.73

=====

Record 3
Entry from Alexandria: an optimized crystal structure of V2AsPbO8 (PBE+U).

final energy = -6.72 eV per atom

abc: 5.5825 5.5825 6.8279
angles: 90.00 90.00 120.00
With the nearest neighbours (Å) after each atom.
Space group P-3m1 (No. 164)
One atom of each set of equivalent atoms:
V1 0.3333 0.6667 0.2510 x2  4 O 1.67-1.78
As1 0.0000 0.0000 0.5000 x1  6 O 1.93
Pb1 0.0000 0.0000 0.0000 x1  6 O 2.68
O1 0.1564 0.3128 0.3237 x6  1 V 1.78, 1 As 1.93
O2 0.3333 0.6667 0.0069 x2  1 V 1.67

=====

Record 4
Entry from Alexandria: an optimized crystal structure of As2PbWO (PBE+U).

final energy = -4.53 eV per atom

abc: 4.4722 4.4722 4.8477
angles: 90.00 90.00 90.00
With the nearest neighbours (Å) after each atom.
Space group P4/mmm (No. 123)
One atom of each set of equivalent atoms:
As1 0.0000 0.5000 0.0000 x2  2 O 2.24
Pb1 0.0000 0.0000 0.5000 x1  2 O 2.42
W1 0.5000 0.5000 0.5000 x1  4 Pb 3.16, 8 As 3.30
O1 0.0000 0.0000 0.0000 x1  4 As 2.24, 2 Pb 2.42

=====

Number 1: M_tot 0.000 μB per cell. Number 2: M_tot 3.000 μB per cell. Number 3: M_tot 0.967 μB per cell. Number 4: M_tot 3.353 μB per cell.